# PmNiF5, optimized geometry, DFT GGA+U
data_PmNiF5
_chemical_formula_sum 'Pm4 Ni4 F20'
_space_group_name_H-M_alt 'C 1 2/c 1'
_space_group_IT_number 15
_cell_length_a 9.187
_cell_length_b 6.678
_cell_length_c 7.772
_cell_angle_alpha 90.00
_cell_angle_beta 114.60
_cell_angle_gamma 90.00
loop_
_space_group_symop_operation_xyz
'x,y,z'
'-x,-y,-z'
'-x,y,-z+1/2'
'x,-y,z+1/2'
'x+1/2,y+1/2,z'
'-x+1/2,-y+1/2,-z'
'-x+1/2,y+1/2,-z+1/2'
'x+1/2,-y+1/2,z+1/2'
loop_
_atom_site_label
_atom_site_type_symbol
_atom_site_fract_x
_atom_site_fract_y
_atom_site_fract_z
Pm1 Pm 0.000 0.057 0.250
Ni1 Ni 0.000 0.500 0.000
F1 F 0.000 0.407 0.250
F2 F 0.008 0.193 0.967
F3 F 0.236 0.480 0.620
# E: -157.66 eV for the cell shown